# LiRuNF2 (PBE, relaxed)
data_LiRuNF2
_chemical_formula_sum 'Li1 Ru1 N1 F2'
_cell_length_a 3.3534
_cell_length_b 3.3534
_cell_length_c 4.4179
_cell_angle_alpha 90.00
_cell_angle_beta 90.00
_cell_angle_gamma 90.00
_symmetry_space_group_name_H-M 'P 4/m m m'
_symmetry_Int_Tables_number 123
_symmetry_space_group_name_Hall '-P 4 2'
loop_
_atom_site_label
_atom_site_type_symbol
_atom_site_fract_x
_atom_site_fract_y
_atom_site_fract_z
Li1 Li 0.0000 0.0000 0.0000
Ru1 Ru 0.5000 0.5000 0.5000
N1 N 0.0000 0.0000 0.5000
F1 F 0.0000 0.5000 0.0000
# Calculated total energy: -0.3606 Ry/atom
# V: 9.9 Å³/atom
# E_form (uncorrected): -5.89 kcal/mol of atoms